A plane-wave DFT calculation with PBE was carried out for a relaxed structure of LaNp2F8.

```
11
Lattice="-1.966 3.367 5.688 1.966 -3.367 5.688 1.966 3.367 -5.688" Properties=species:S:1:pos:R:3 pbc="T T T"
La 0.000 0.000 0.000
Np 0.000 0.000 3.616
Np 0.000 0.000 7.761
F 1.966 -1.512 3.863
F 1.966 0.000 1.625
F 1.966 2.066 0.000
F 0.000 1.855 1.826
F 1.966 1.512 3.863
F 0.000 1.301 5.688
F 0.000 3.367 4.063
F 0.000 4.879 1.826
```

Summary:
The space group is Immm. The value obtained for the formation energy without anion corrections is -3461 meV per atom. The calculation puts the theoretical density at 8.43 g cm⁻³.


A plane-wave DFT calculation with PBE was carried out for a relaxed structure of La3NpO6F2.

```
12
Lattice="6.259 -3.526 0.000 6.259 3.526 0.000 -0.334 0.000 4.859" Properties=species:S:1:pos:R:3 pbc="T T T"
La 0.000 0.000 0.000
La 2.963 1.763 2.429
La 2.963 -1.763 2.429
Np 6.092 0.000 2.429
O 5.095 1.682 3.478
O 7.090 1.682 1.381
O 4.189 0.000 1.479
O 7.995 0.000 3.380
O 5.095 -1.682 3.478
O 7.090 -1.682 1.381
F 1.909 0.000 3.793
F 10.276 0.000 1.066
```

Summary:
The space group is C2/m. The value obtained for the formation energy without anion corrections is -3317 meV per atom. The calculation puts the theoretical density at 6.10 g cm⁻³.


A plane-wave DFT calculation with PBE was carried out for a relaxed structure of LaOF2.

```
16
Lattice="3.837 0.000 0.000 0.000 3.837 0.000 0.000 0.000 16.061" Properties=species:S:1:pos:R:3 pbc="T T T"
La 0.000 0.000 0.000
La 0.000 1.919 4.015
La 1.919 0.000 12.045
La 1.919 1.919 8.030
O 0.000 0.000 8.030
O 0.000 1.919 12.045
O 1.919 0.000 4.015
O 1.919 1.919 0.000
F 0.843 0.959 2.008
F 0.959 2.762 6.023
F 0.959 2.994 14.053
F 1.076 0.959 10.038
F 2.762 2.878 10.038
F 2.878 0.843 14.053
F 2.878 1.076 6.023
F 2.994 2.878 2.008
```

Summary:
The space group is I-42d. The value obtained for the formation energy without anion corrections is -2907 meV per atom. The calculation puts the theoretical density at 5.42 g cm⁻³. As for the energy above the lowest structure with this stoichiometry: 4.1 kJ/mol of atoms.


A plane-wave DFT calculation with PBE was carried out for a relaxed structure of LaO2F2.

```
5
Lattice="4.613 0.000 0.000 0.000 4.613 0.000 0.000 0.000 4.951" Properties=species:S:1:pos:R:3 pbc="T T T"
La 0.000 0.000 0.000
O 0.000 0.000 2.476
O 2.306 2.306 2.476
F 0.000 2.306 0.000
F 2.306 0.000 0.000
```

Summary:
The space group is P4/mmm. The value obtained for the formation energy without anion corrections is -1892 meV per atom. The calculation puts the theoretical density at 3.29 g cm⁻³.


A plane-wave DFT calculation with PBE was carried out for a relaxed structure of LaO2F2.

```
10
Lattice="2.331 -6.754 0.000 2.331 6.754 0.000 -1.538 0.000 6.481" Properties=species:S:1:pos:R:3 pbc="T T T"
La 1.562 5.130 3.240
La 2.331 -5.130 0.000
O 0.549 2.992 2.137
O -0.220 -2.992 5.377
O 2.535 2.986 4.353
O 3.305 -2.986 1.112
F -1.132 0.023 4.842
F -0.363 -0.023 1.602
F 2.332 1.446 0.037
F 1.562 -1.446 3.278
```

Summary:
The space group is Cc. The value obtained for the formation energy without anion corrections is -2683 meV per atom. The calculation puts the theoretical density at 3.40 g cm⁻³.


A plane-wave DFT calculation with PBE was carried out for a relaxed structure of La2O2F.

```
5
Lattice="4.186 0.000 0.000 -2.093 3.625 0.000 0.000 0.000 5.397" Properties=species:S:1:pos:R:3 pbc="T T T"
La 0.000 2.417 1.342
La 2.093 1.208 4.055
O 0.000 2.417 3.913
O 2.093 1.208 1.483
F 0.000 0.000 0.000
```

Summary:
The space group is P-3m1. The value obtained for the formation energy without anion corrections is -3347 meV per atom. The calculation puts the theoretical density at 6.67 g cm⁻³.


A plane-wave DFT calculation with PBE was carried out for a relaxed structure of La2OF.

```
16
Lattice="5.791 0.000 0.000 0.000 5.791 0.000 0.000 0.000 11.434" Properties=species:S:1:pos:R:3 pbc="T T T"
La 1.299 1.448 1.429
La 1.448 4.195 4.288
La 1.448 4.492 10.004
La 1.596 1.448 7.146
La 4.195 4.343 7.146
La 4.343 1.299 10.004
La 4.343 1.596 4.288
La 4.492 4.343 1.429
O 0.000 0.000 0.000
O 0.000 2.895 2.858
O 2.895 0.000 8.575
O 2.895 2.895 5.717
F 0.000 0.000 5.717
F 0.000 2.895 8.575
F 2.895 0.000 2.858
F 2.895 2.895 0.000
```

Summary:
The space group is I-42d. The value obtained for the formation energy without anion corrections is -2567 meV per atom. The calculation puts the theoretical density at 5.42 g cm⁻³. As for the energy above the lowest structure with this stoichiometry: 6.9 kJ/mol of atoms.


A plane-wave DFT calculation with PBE was carried out for a relaxed structure of LaO2F2.

```
5
Lattice="4.096 0.000 0.000 0.000 4.096 0.000 0.000 0.000 3.705" Properties=species:S:1:pos:R:3 pbc="T T T"
La 0.000 0.000 0.000
O 2.048 2.048 0.000
O 2.048 2.048 1.853
F 0.000 2.048 1.853
F 2.048 0.000 1.853
```

Summary:
The space group is P4/mmm. The value obtained for the formation energy without anion corrections is -1575 meV per atom. The calculation puts the theoretical density at 5.58 g cm⁻³.


A plane-wave DFT calculation with PBE was carried out for a relaxed structure of LaOF2.

```
12
Lattice="4.143 0.000 0.000 -2.071 3.588 0.000 0.000 0.000 10.338" Properties=species:S:1:pos:R:3 pbc="T T T"
La 0.000 0.000 0.000
La 0.000 2.392 6.892
La 2.071 1.196 3.446
O 0.000 0.000 5.169
O 0.000 2.392 1.723
O 2.071 1.196 8.615
F 0.000 0.000 2.536
F 0.000 0.000 7.802
F 0.000 2.392 4.356
F 0.000 2.392 9.428
F 2.071 1.196 0.910
F 2.071 1.196 5.982
```

Summary:
The space group is R-3m. The value obtained for the formation energy without anion corrections is -2949 meV per atom. The calculation puts the theoretical density at 6.25 g cm⁻³. As for the energy above the lowest structure with this stoichiometry: 0.0 kJ/mol of atoms.


A plane-wave DFT calculation with PBE was carried out for a relaxed structure of LaO2F2.

```
5
Lattice="3.757 0.000 0.000 0.000 3.757 0.000 0.000 0.000 4.258" Properties=species:S:1:pos:R:3 pbc="T T T"
La 0.000 0.000 0.000
O 0.000 1.878 2.129
O 1.878 0.000 2.129
F 1.878 1.878 0.000
F 1.878 1.878 2.129
```

Summary:
The space group is P4/mmm. The value obtained for the formation energy without anion corrections is -1486 meV per atom. The calculation puts the theoretical density at 5.77 g cm⁻³.


A plane-wave DFT calculation with PBE was carried out for a relaxed structure of La2OF.

```
16
Lattice="6.484 0.000 0.000 0.000 6.484 0.000 0.000 0.000 6.484" Properties=species:S:1:pos:R:3 pbc="T T T"
La 1.621 1.621 1.621
La 1.621 1.621 4.863
La 1.621 4.863 1.621
La 1.621 4.863 4.863
La 4.863 1.621 1.621
La 4.863 1.621 4.863
La 4.863 4.863 1.621
La 4.863 4.863 4.863
O 0.000 0.000 0.000
O 0.000 3.242 3.242
O 3.242 0.000 3.242
O 3.242 3.242 0.000
F 0.000 0.000 3.242
F 0.000 3.242 0.000
F 3.242 0.000 0.000
F 3.242 3.242 3.242
```

Summary:
The space group is Fm-3m. The value obtained for the formation energy without anion corrections is -2047 meV per atom. The calculation puts the theoretical density at 7.62 g cm⁻³. As for the energy above the lowest structure with this stoichiometry: 57.1 kJ/mol of atoms.


A plane-wave DFT calculation with PBE was carried out for a relaxed structure of La3OF.

```
5
Lattice="4.965 0.000 0.000 0.000 4.965 0.000 0.000 0.000 4.965" Properties=species:S:1:pos:R:3 pbc="T T T"
La 0.000 0.000 2.482
La 0.000 2.482 0.000
La 2.482 0.000 0.000
O 0.000 0.000 0.000
F 2.482 2.482 2.482
```

Summary:
The space group is Pm-3m. The value obtained for the formation energy without anion corrections is -1408 meV per atom. The calculation puts the theoretical density at 6.13 g cm⁻³. As for the energy above the lowest structure with this stoichiometry: 0.0 kJ/mol of atoms.